Density functional theory data (PBE+U) for a geometry-optimized Ba3VBr2F6 structure.

Unit cell a=13.8987 b=7.6154 c=5.7513 alpha=90.00 beta=96.64 gamma=90.00
With the nearest neighbours (Å) after each atom.
Space group C2/m (No. 12)
Inequivalent atoms, fractional coordinates:
Ba 0.0000 0.0000 0.0000 [2 per cell]  4 F 2.75
Ba 0.2500 0.2500 0.5000 [4 per cell]  4 F 2.56-2.72
V 0.0000 0.5000 0.5000 [2 per cell]  6 F 2.08-2.32
Br 0.2187 0.0000 0.9282 [4 per cell]  1 F 2.96, 3 Ba 3.11-3.18
F 0.0610 0.2609 0.3129 [8 per cell]  1 V 2.32
F 0.1458 0.5000 0.6341 [4 per cell]  1 V 2.08

Calculated total energy = -62.99 eV per formula unit